No. 1
A plane-wave DFT calculation with GGA-PBE was carried out for a geometry-optimized YTlPd2 structure.

The structure in extended XYZ format:
```
4
Lattice="-2.862 2.340 0.785 -0.041 -1.526 4.401 3.042 3.325 1.181" Properties=species:S:1:pos:R:3 pbc="T T T"
Y 0.070 2.069 3.184
Tl -1.431 1.170 0.392
Pd 1.521 1.662 0.591
Pd -0.020 -0.763 2.201
```

M_tot ... 0.00 μB/f.u.
Energy relative to the elements ... -214 kJ/mol of formula units

---

No. 2
A plane-wave DFT calculation with GGA-PBE was carried out for a geometry-optimized YTlPd structure.

The structure in extended XYZ format:
```
3
Lattice="-3.243 1.210 0.692 -1.351 -4.373 1.320 1.810 3.008 3.220" Properties=species:S:1:pos:R:3 pbc="T T T"
Y -2.459 -1.106 2.415
Tl -0.539 0.201 0.115
Pd 0.214 0.750 2.702
```

M_tot ... 0.00 μB/f.u.
Energy relative to the elements ... -160 kJ/mol of formula units

---

No. 3
A plane-wave DFT calculation with GGA-PBE was carried out for a geometry-optimized YTl2Pd structure.

The structure in extended XYZ format:
```
4
Lattice="3.474 0.000 0.000 1.737 3.008 0.000 1.737 1.003 10.386" Properties=species:S:1:pos:R:3 pbc="T T T"
Y 0.000 0.000 0.000
Tl 1.737 1.003 7.251
Tl 5.210 3.008 3.136
Pd 3.474 2.005 5.193
```

M_tot ... 0.00 μB/f.u.
Energy relative to the elements ... 28 kJ/mol of formula units

---

No. 4
A plane-wave DFT calculation with GGA-PBE was carried out for a geometry-optimized YTlPd structure.

The structure in extended XYZ format:
```
3
Lattice="4.759 0.000 0.000 2.380 4.122 0.000 2.380 1.374 3.886" Properties=species:S:1:pos:R:3 pbc="T T T"
Y 0.000 0.000 0.000
Tl 4.759 2.748 1.943
Pd 2.380 1.374 0.971
```

M_tot ... 0.00 μB/f.u.
Energy relative to the elements ... -152 kJ/mol of formula units

---

What is the formula in the third record?
YTl2Pd